{
  "formula": "PuZnFeRh",
  "functional": "PBE",
  "state": "optimized geometry",
  "lattice": [[-2.476, 3.425, -1.546], [-3.705, -0.815, -2.421], [-4.061, 0.814, 1.759]],
  "species": ["Zn", "Pu", "Fe", "Rh"],
  "frac_coords": [[0.000, 0.000, 0.000], [0.500, 0.500, 0.500], [0.250, 0.250, 0.250], [0.750, 0.750, 0.750]],
  "dos_at_fermi_per_ev_cell": 4.98,
  "spacegroup": "F-43m, No. 216",
  "total_magnetization_mub_per_cell": 3.1,
  "delta_e_f_ev_per_atom": -0.218,
  "total_energy_ev_per_cell": -32.290
}